Record 1
A crystal of Cr2TcMo relaxed with PBEsol. Source: Alexandria via LeMat-Bulk, functional meta-GGA SCAN.

offset from the most stable computed form = 103.6 meV per atom
ΔE_f = 0.36 eV per formula unit

Cell lengths 4.8701, 4.8701, 2.5962 Å; angles 100.35, 100.35, 115.79 degrees
Atoms (fractional coordinates):
Cr (0.0000, 0.5000, 0.0000)
Cr (0.5000, 0.0000, 0.0000)
Tc (0.0000, 0.0000, 0.5000)
Mo (0.5000, 0.5000, 0.5000)

***

Record 2
A crystal of LaCr2Ru relaxed with PBEsol. Source: Alexandria via LeMat-Bulk, functional meta-GGA SCAN.

offset from the most stable computed form = 0.0 meV per atom
ΔE_f = 1.73 eV per formula unit

Cell lengths 5.2609, 5.2609, 5.2609 Å; angles 146.05, 124.96, 66.26 degrees
Atoms (fractional coordinates):
La (0.0000, 0.0000, 0.0000)
Cr (0.5036, 0.5036, 0.0000)
Cr (0.7225, 0.2225, 0.5000)
Ru (0.2666, 0.7666, 0.5000)

***

Record 3
A crystal of LiLaPt2 relaxed with PBEsol. Source: Alexandria via LeMat-Bulk, functional meta-GGA SCAN.

ΔE_f = -3.68 eV per formula unit

Cell lengths 3.5818, 3.5818, 5.8587 Å; angles 90.00, 90.00, 90.00 degrees
Atoms (fractional coordinates):
Li (0.0000, 0.0000, 0.0000)
La (0.0000, 0.0000, 0.5000)
Pt (0.5000, 0.5000, 0.2276)
Pt (0.5000, 0.5000, 0.7724)

***

Record 4
A crystal of Ca3Fe2N4 relaxed with PBEsol. Source: Alexandria via LeMat-Bulk, functional meta-GGA SCAN.

formation energy from raw total energies = -0.707 eV per atom

Cell lengths 6.2950, 6.2950, 6.2950 Å; angles 135.14, 73.75, 124.82 degrees
Atoms (fractional coordinates):
Ca (0.0000, 0.0000, 0.0000)
Ca (0.0485, 0.7374, 0.3111)
Ca (0.4263, 0.7374, 0.6889)
Fe (0.6026, 0.2181, 0.3845)
Fe (0.8336, 0.2181, 0.6155)
N (0.3747, 0.1547, 0.2200)
N (0.4980, 0.9980, 0.5000)
N (0.9346, 0.1547, 0.7800)
N (0.9555, 0.4555, 0.5000)

***

Record 5
A crystal of CrCoIr2 relaxed with PBEsol. Source: Alexandria via LeMat-Bulk, functional meta-GGA SCAN.

ΔE_f = -0.54 eV per formula unit

Cell lengths 4.4394, 4.4394, 2.6339 Å; angles 90.00, 90.00, 107.45 degrees
Atoms (fractional coordinates):
Cr (0.0000, 0.0000, 0.0000)
Co (0.5000, 0.5000, 0.0000)
Ir (0.0000, 0.5000, 0.5000)
Ir (0.5000, 0.0000, 0.5000)

***

Record 6
A crystal of SrNiSb2 relaxed with PBEsol. Source: Alexandria via LeMat-Bulk, functional meta-GGA SCAN.

formation energy from raw total energies = -0.114 eV per atom

Cell lengths 3.4711, 3.4711, 7.6005 Å; angles 90.00, 90.00, 90.00 degrees
Atoms (fractional coordinates):
Sr (0.0000, 0.0000, 0.0000)
Ni (0.0000, 0.0000, 0.5000)
Sb (0.5000, 0.5000, 0.3102)
Sb (0.5000, 0.5000, 0.6898)

***

Record 7
A crystal of BeB2SbC relaxed with PBEsol. Source: Alexandria via LeMat-Bulk, functional meta-GGA SCAN.

formation energy from raw total energies = 1.567 eV per atom

Cell lengths 3.1592, 3.1592, 7.1457 Å; angles 90.00, 90.00, 90.00 degrees
Atoms (fractional coordinates):
Be (0.0000, 0.0000, 0.0000)
B (0.0000, 0.5000, 0.5000)
B (0.5000, 0.0000, 0.5000)
Sb (0.5000, 0.5000, 0.0000)
C (0.5000, 0.5000, 0.5000)

***

Record 8
A crystal of Tc2AsAuO relaxed with PBEsol. Source: Alexandria via LeMat-Bulk, functional meta-GGA SCAN.

formation energy from raw total energies = 0.363 eV per atom

Cell lengths 4.0101, 4.0101, 4.3867 Å; angles 90.00, 90.00, 90.00 degrees
Atoms (fractional coordinates):
Tc (0.0000, 0.5000, 0.0000)
Tc (0.5000, 0.0000, 0.0000)
As (0.0000, 0.0000, 0.5000)
Au (0.5000, 0.5000, 0.5000)
O (0.0000, 0.0000, 0.0000)

***

Record 9
A crystal of Al4Cu9 relaxed with PBEsol. Source: Alexandria via LeMat-Bulk, functional meta-GGA SCAN.

ΔE_f = -3.93 eV per formula unit

Cell lengths 8.5961, 8.5961, 8.5961 Å; angles 90.00, 90.00, 90.00 degrees
Atoms (fractional coordinates):
Al (0.0351, 0.3091, 0.3091)
Al (0.0351, 0.6909, 0.6909)
Al (0.3091, 0.0351, 0.3091)
Al (0.3091, 0.3091, 0.0351)
Al (0.3091, 0.6909, 0.9649)
Al (0.3091, 0.9649, 0.6909)
Al (0.3779, 0.3779, 0.6221)
Al (0.3779, 0.6221, 0.3779)
Al (0.6221, 0.3779, 0.3779)
Al (0.6221, 0.6221, 0.6221)
Al (0.6909, 0.0351, 0.6909)
Al (0.6909, 0.3091, 0.9649)
Al (0.6909, 0.6909, 0.0351)
Al (0.6909, 0.9649, 0.3091)
Al (0.9649, 0.3091, 0.6909)
Al (0.9649, 0.6909, 0.3091)
Cu (0.0000, 0.0000, 0.3553)
Cu (0.0000, 0.0000, 0.6447)
Cu (0.0000, 0.3553, 0.0000)
Cu (0.0000, 0.6447, 0.0000)
Cu (0.1051, 0.1051, 0.1051)
Cu (0.1051, 0.8949, 0.8949)
Cu (0.1439, 0.5000, 0.5000)
Cu (0.1745, 0.1745, 0.8255)
Cu (0.1745, 0.8255, 0.1745)
Cu (0.1835, 0.1835, 0.5306)
Cu (0.1835, 0.4694, 0.8165)
Cu (0.1835, 0.5306, 0.1835)
Cu (0.1835, 0.8165, 0.4694)
Cu (0.3313, 0.3313, 0.3313)
Cu (0.3313, 0.6687, 0.6687)
Cu (0.3553, 0.0000, 0.0000)
Cu (0.4694, 0.1835, 0.8165)
Cu (0.4694, 0.8165, 0.1835)
Cu (0.5000, 0.1439, 0.5000)
Cu (0.5000, 0.5000, 0.1439)
Cu (0.5000, 0.5000, 0.8561)
Cu (0.5000, 0.8561, 0.5000)
Cu (0.5306, 0.1835, 0.1835)
Cu (0.5306, 0.8165, 0.8165)
Cu (0.6447, 0.0000, 0.0000)
Cu (0.6687, 0.3313, 0.6687)
Cu (0.6687, 0.6687, 0.3313)
Cu (0.8165, 0.1835, 0.4694)
Cu (0.8165, 0.4694, 0.1835)
Cu (0.8165, 0.5306, 0.8165)
Cu (0.8165, 0.8165, 0.5306)
Cu (0.8255, 0.1745, 0.1745)
Cu (0.8255, 0.8255, 0.8255)
Cu (0.8561, 0.5000, 0.5000)
Cu (0.8949, 0.1051, 0.8949)
Cu (0.8949, 0.8949, 0.1051)

***

Record 10
A crystal of K2CaAg relaxed with PBEsol. Source: Alexandria via LeMat-Bulk, functional meta-GGA SCAN.

offset from the most stable computed form = 206.0 meV per atom
ΔE_f = 0.81 eV per formula unit

Cell lengths 12.0599, 12.0599, 12.0599 Å; angles 19.74, 19.74, 19.74 degrees
Atoms (fractional coordinates):
K (0.2307, 0.2307, 0.2307)
K (0.7693, 0.7693, 0.7693)
Ca (0.0000, 0.0000, 0.0000)
Ag (0.5000, 0.5000, 0.5000)

***

Record 11
A crystal of ZnTe2N relaxed with PBEsol. Source: Alexandria via LeMat-Bulk, functional meta-GGA SCAN.

offset from the most stable computed form = 566.9 meV per atom
formation energy from raw total energies = 1.165 eV per atom

Cell lengths 4.6707, 4.6707, 4.6707 Å; angles 60.00, 60.00, 60.00 degrees
Atoms (fractional coordinates):
Zn (0.0000, 0.0000, 0.0000)
Te (0.2500, 0.2500, 0.2500)
Te (0.7500, 0.7500, 0.7500)
N (0.5000, 0.5000, 0.5000)

***

Record 12
A crystal of AlPPb2 relaxed with PBEsol. Source: Alexandria via LeMat-Bulk, functional meta-GGA SCAN.

offset from the most stable computed form = 25.5 meV per atom
ΔE_f = 0.06 eV per formula unit

Cell lengths 3.4170, 3.4170, 8.5312 Å; angles 90.00, 90.00, 90.00 degrees
Atoms (fractional coordinates):
Al (0.0000, 0.0000, 0.0000)
P (0.5000, 0.5000, 0.9780)
Pb (0.0000, 0.0000, 0.3474)
Pb (0.5000, 0.5000, 0.6456)

***

VASP energy
In order: -106.35; -112.97; -189.56; -108.78; -178.43; -113.43; -58.74; -163.89; -686.95; -56.88; -92.65; -169.65
Unit: eV/cell
D(E_F)
In order: 3.5; 3.4; 1.3; 1.5; 3.1; 3.2; 2.5; 3.5; 10.3; 2.2; 1.7; 2.0
Unit: states/eV per cell